VASP calculation (PBE) on Rb2TmZn2S4 after structural relaxation.

Geometry as CIF:
```
data_Rb2TmZn2S4
_symmetry_space_group_name_H-M 'C 1 2/m 1'
_symmetry_Int_Tables_number 12
_cell_length_a 15.878
_cell_length_b 3.880
_cell_length_c 8.114
_cell_angle_alpha 90.00
_cell_angle_beta 113.07
_cell_angle_gamma 90.00
loop_
_symmetry_equiv_pos_as_xyz
'x,y,z'
'-x,-y,-z'
'-x,y,-z'
'x,-y,z'
'x+1/2,y+1/2,z'
'-x+1/2,-y+1/2,-z'
'-x+1/2,y+1/2,-z'
'x+1/2,-y+1/2,z'
loop_
_atom_site_label
_atom_site_type_symbol
_atom_site_fract_x
_atom_site_fract_y
_atom_site_fract_z
Rb1 Rb 0.128 0.000 0.060
Tm1 Tm 0.000 0.000 0.500
Zn1 Zn 0.183 0.500 0.523
S1 S 0.033 0.500 0.295
S2 S 0.184 0.000 0.703
```

Properties
ΔE_f (raw), meV/atom: -1155.8
Density of states at the Fermi level, states/eV/cell: 7.5
Magnetization, Bohr magnetons per cell: 0.00
Calculated volume, Å³/atom: 25.55
Electronic total energy, eV per atom: -3.985



VASP calculation (PBE) on In3H5Rh12 after structural relaxation.

Geometry as CIF:
```
data_In3H5Rh12
_symmetry_space_group_name_H-M 'I a -3 d'
_symmetry_Int_Tables_number 230
_symmetry_space_group_name_Hall '-I 4bd 2c 3'
_cell_length_a 12.834
_cell_length_b 12.834
_cell_length_c 12.834
_cell_angle_alpha 90.00
_cell_angle_beta 90.00
_cell_angle_gamma 90.00
loop_
_atom_site_label
_atom_site_type_symbol
_atom_site_fract_x
_atom_site_fract_y
_atom_site_fract_z
In1 In 0.000 0.250 0.125
H1 H 0.000 0.000 0.000
H2 H 0.000 0.250 0.375
Rh1 Rh 0.046 0.142 0.950
```

Properties
Density of states at the Fermi level, states/eV/cell: 193.6
Magnetization, Bohr magnetons per cell: 54.45
Calculated volume, Å³/atom: 13.21
Electronic total energy, eV per atom: -5.542